Entry 1:
Here is a relaxed structure of Ac2TiSi4Pt3 from Alexandria. Energies are from GGA-PBE.

a = 4.3178 Å, b = 4.3178 Å, c = 10.5375 Å
α = 90.00°, β = 90.00°, γ = 90.00°
With the nearest neighbours (Å) after each atom.
Sites, in units of the cell vectors:
Pt: 0.5000 0.0000 0.8853  5 Si 2.47-2.63
Si: 0.0000 0.5000 0.3645  3 Pt 2.59-2.63, 2 Ti 2.59
Si: 0.5000 0.5000 0.0000  4 Pt 2.47
Si: 0.0000 0.0000 0.0000  4 Pt 2.47
Si: 0.5000 0.0000 0.6355  3 Pt 2.59-2.63, 2 Ti 2.59
Pt: 0.0000 0.5000 0.1147  5 Si 2.47-2.63
Ac: 0.5000 0.0000 0.2423  8 Si 3.31-3.34, 6 Pt 3.34-3.47, 2 Ti 3.47
Ti: 0.5000 0.5000 0.5000  4 Si 2.59
Ac: 0.0000 0.5000 0.7577  8 Si 3.31-3.34, 6 Pt 3.34-3.47, 2 Ti 3.47
Pt: 0.0000 0.0000 0.5000  4 Si 2.59

- Calculated volume: 196.5 Å³/f.u.
- Size of the total moment: 0.0 μB per cell
- Symmetry: No. 115
- Energy relative to the elements, uncorrected: -0.992 eV/atom



Entry 2:
Here is a relaxed structure of Ac2Tl2SiPt4 from Alexandria. Energies are from GGA-PBE.

a = 6.5984 Å, b = 6.5984 Å, c = 6.5984 Å
α = 95.58°, β = 116.83°, γ = 116.83°
With the nearest neighbours (Å) after each atom.
Sites, in units of the cell vectors:
Pt: 0.4824 0.2412 0.2412  1 Si 2.36
Tl: 0.0000 0.3258 0.3258  1 Si 2.89, 4 Pt 2.96, 1 Tl 3.09
Pt: 0.0000 0.2412 0.7588  1 Si 2.36
Si: 0.0000 0.0000 0.0000  4 Pt 2.36
Ac: 0.5000 0.7500 0.2500  8 Pt 3.30, 4 Tl 3.52
Pt: 0.5176 0.7588 0.7588  1 Si 2.36
Ac: 0.5000 0.2500 0.7500  8 Pt 3.30, 4 Tl 3.52
Pt: 0.0000 0.7588 0.2412  1 Si 2.36
Tl: 0.0000 0.6742 0.6742  1 Si 2.89, 4 Pt 2.96, 1 Tl 3.09

- Calculated volume: 211.8 Å³/f.u.
- Size of the total moment: 0.0 μB per cell
- Symmetry: No. 139
- Energy relative to the elements, uncorrected: -0.662 eV/atom



Entry 3:
Here is a relaxed structure of Ac3TlSi2Pt9 from Alexandria. Energies are from GGA-PBE.

a = 7.4005 Å, b = 7.4005 Å, c = 7.1336 Å
α = 90.00°, β = 90.00°, γ = 120.00°
With the nearest neighbours (Å) after each atom.
Sites, in units of the cell vectors:
Pt: 0.6331 0.8165 0.3167  1 Si 2.34
Tl: 0.0000 0.0000 0.5000  6 Pt 2.69
Pt: 0.0000 0.5000 0.0000  2 Si 2.33
Ac: 0.3333 0.6667 0.6614  6 Pt 3.12-3.22, 1 Si 3.34
Si: 0.6667 0.3333 0.8701  6 Pt 2.33-2.34
Pt: 0.5000 0.5000 0.0000  2 Si 2.33
Si: 0.3333 0.6667 0.1299  6 Pt 2.33-2.34
Pt: 0.8165 0.1835 0.6833  1 Si 2.34
Pt: 0.5000 0.0000 0.0000  2 Si 2.33
Pt: 0.1835 0.8165 0.3167  1 Si 2.34
Ac: 0.0000 0.0000 0.0000  6 Pt 3.26, 2 Tl 3.57
Pt: 0.3669 0.1835 0.6833  1 Si 2.34
Ac: 0.6667 0.3333 0.3386  6 Pt 3.12-3.22, 1 Si 3.34
Pt: 0.1835 0.3669 0.3167  1 Si 2.34
Pt: 0.8165 0.6331 0.6833  1 Si 2.34

- Calculated volume: 338.4 Å³/f.u.
- Size of the total moment: 0.0 μB per cell
- Symmetry: No. 164
- Energy relative to the elements, uncorrected: -0.638 eV/atom



Entry 4:
Here is a relaxed structure of Ac2TmSi4Pt3 from Alexandria. Energies are from GGA-PBE.

a = 4.3675 Å, b = 4.3675 Å, c = 10.9269 Å
α = 90.00°, β = 90.00°, γ = 90.00°
With the nearest neighbours (Å) after each atom.
Sites, in units of the cell vectors:
Si: 0.0000 0.5000 0.3408  3 Pt 2.54-2.79, 2 Tm 2.79
Ac: 0.5000 0.0000 0.2336  8 Si 3.30-3.36, 6 Pt 3.38-3.64, 2 Tm 3.64
Ac: 0.0000 0.5000 0.7664  8 Si 3.30-3.36, 6 Pt 3.38-3.64, 2 Tm 3.64
Si: 0.5000 0.0000 0.6592  3 Pt 2.54-2.79, 2 Tm 2.79
Pt: 0.0000 0.0000 0.5000  4 Si 2.79, 4 Tm 3.09
Tm: 0.5000 0.5000 0.5000  4 Si 2.79, 4 Pt 3.09
Si: 0.5000 0.5000 0.0000  4 Pt 2.48
Pt: 0.0000 0.5000 0.1080  5 Si 2.48-2.54
Si: 0.0000 0.0000 0.0000  4 Pt 2.48
Pt: 0.5000 0.0000 0.8920  5 Si 2.48-2.54

- Calculated volume: 208.4 Å³/f.u.
- Size of the total moment: 0.0 μB per cell
- Symmetry: No. 115
- Energy relative to the elements, uncorrected: -0.980 eV/atom



Entry 5:
Here is a relaxed structure of AcTmSi2Pt2 from Alexandria. Energies are from GGA-PBE.

a = 4.2197 Å, b = 4.2197 Å, c = 8.3984 Å
α = 90.00°, β = 90.00°, γ = 120.00°
With the nearest neighbours (Å) after each atom.
Sites, in units of the cell vectors:
Pt: 0.3333 0.6667 0.2823  3 Si 2.44
Pt: 0.6667 0.3333 0.7177  3 Si 2.44
Ac: 0.0000 0.0000 0.0000  6 Si 3.33, 6 Pt 3.40
Si: 0.6667 0.3333 0.2710  3 Pt 2.44
Tm: 0.0000 0.0000 0.5000  6 Pt 3.05, 6 Si 3.10
Si: 0.3333 0.6667 0.7290  3 Pt 2.44

- Calculated volume: 129.5 Å³/f.u.
- Size of the total moment: 0.0 μB per cell
- Symmetry: No. 164
- Energy relative to the elements, uncorrected: -1.115 eV/atom



Entry 6:
Here is a relaxed structure of Ac2TmSi3Pt12 from Alexandria. Energies are from GGA-PBE.

a = 7.8847 Å, b = 7.8847 Å, c = 7.8847 Å
α = 64.16°, β = 64.16°, γ = 64.16°
With the nearest neighbours (Å) after each atom.
Sites, in units of the cell vectors:
Pt: 0.6545 0.6545 0.0981  2 Si 2.37
Pt: 0.8643 0.8643 0.3937  1 Si 2.36
Pt: 0.1357 0.1357 0.6063  1 Si 2.36
Pt: 0.3455 0.3455 0.9019  2 Si 2.37
Pt: 0.6545 0.0981 0.6545  2 Si 2.37
Si: 0.0000 0.0000 0.5000  6 Pt 2.36-2.37
Ac: 0.3953 0.3953 0.3953  6 Pt 2.98-3.02
Si: 0.5000 0.0000 0.0000  6 Pt 2.36-2.37
Tm: 0.0000 0.0000 0.0000  6 Pt 2.67
Pt: 0.3455 0.9019 0.3455  2 Si 2.37
Pt: 0.3937 0.8643 0.8643  1 Si 2.36
Pt: 0.1357 0.6063 0.1357  1 Si 2.36
Si: 0.0000 0.5000 0.0000  6 Pt 2.36-2.37
Pt: 0.9019 0.3455 0.3455  2 Si 2.37
Pt: 0.8643 0.3937 0.8643  1 Si 2.36
Ac: 0.6047 0.6047 0.6047  6 Pt 2.98-3.02
Pt: 0.0981 0.6545 0.6545  2 Si 2.37
Pt: 0.6063 0.1357 0.1357  1 Si 2.36

- Calculated volume: 378.3 Å³/f.u.
- Size of the total moment: 0.0 μB per cell
- Symmetry: No. 166
- Energy relative to the elements, uncorrected: -0.586 eV/atom



Entry 7:
Here is a relaxed structure of Ac2TmSi3Pt4 from Alexandria. Energies are from GGA-PBE.

a = 4.4093 Å, b = 4.4093 Å, c = 10.7222 Å
α = 90.00°, β = 90.00°, γ = 90.00°
With the nearest neighbours (Å) after each atom.
Sites, in units of the cell vectors:
Pt: 0.5000 0.5000 0.0000  4 Si 2.53
Pt: 0.5000 0.0000 0.6540  3 Si 2.47-2.75, 2 Tm 2.75
Pt: 0.0000 0.5000 0.3460  3 Si 2.47-2.75, 2 Tm 2.75
Tm: 0.5000 0.5000 0.5000  4 Pt 2.75
Pt: 0.0000 0.0000 0.0000  4 Si 2.53
Si: 0.0000 0.5000 0.1156  5 Pt 2.47-2.53
Si: 0.0000 0.0000 0.5000  4 Pt 2.75
Si: 0.5000 0.0000 0.8844  5 Pt 2.47-2.53
Ac: 0.5000 0.0000 0.2341  8 Pt 3.34, 6 Si 3.37-3.60, 2 Tm 3.60
Ac: 0.0000 0.5000 0.7659  8 Pt 3.34, 6 Si 3.37-3.60, 2 Tm 3.60

- Calculated volume: 208.5 Å³/f.u.
- Size of the total moment: 0.0 μB per cell
- Symmetry: No. 115
- Energy relative to the elements, uncorrected: -1.055 eV/atom



Entry 8:
Here is a relaxed structure of AcTmSi2Pt5 from Alexandria. Energies are from GGA-PBE.

a = 4.1935 Å, b = 4.1935 Å, c = 10.9732 Å
α = 90.00°, β = 90.00°, γ = 90.00°
With the nearest neighbours (Å) after each atom.
Sites, in units of the cell vectors:
Si: 0.5000 0.5000 0.7152  5 Pt 2.36-2.37
Pt: 0.5000 0.0000 0.8163  2 Si 2.37
Pt: 0.0000 0.5000 0.8163  2 Si 2.37
Pt: 0.5000 0.5000 0.5000  2 Si 2.36
Pt: 0.5000 0.0000 0.1837  2 Si 2.37
Ac: 0.0000 0.0000 0.5000  4 Pt 2.97
Pt: 0.0000 0.5000 0.1837  2 Si 2.37
Tm: 0.0000 0.0000 0.0000  8 Pt 2.91
Si: 0.5000 0.5000 0.2848  5 Pt 2.36-2.37

- Calculated volume: 193.0 Å³/f.u.
- Size of the total moment: 0.0 μB per cell
- Symmetry: No. 123
- Energy relative to the elements, uncorrected: -0.953 eV/atom



Entry 9:
Here is a relaxed structure of Ac2USi3Pt12 from Alexandria. Energies are from GGA-PBE.

a = 8.0771 Å, b = 8.0771 Å, c = 8.0771 Å
α = 61.32°, β = 61.32°, γ = 61.32°
With the nearest neighbours (Å) after each atom.
Sites, in units of the cell vectors:
Ac: 0.3957 0.3957 0.3957  6 Pt 3.00-3.09
Si: 0.0000 0.5000 0.0000  6 Pt 2.34-2.41
Pt: 0.6096 0.1296 0.1296  1 Si 2.41, 1 U 2.62
Pt: 0.1296 0.6096 0.1296  1 Si 2.41, 1 U 2.62
Pt: 0.3464 0.9027 0.3464  2 Si 2.34
Pt: 0.6536 0.0973 0.6536  2 Si 2.34
Pt: 0.3464 0.3464 0.9027  2 Si 2.34
Pt: 0.9027 0.3464 0.3464  2 Si 2.34
Si: 0.0000 0.0000 0.5000  6 Pt 2.34-2.41
Si: 0.5000 0.0000 0.0000  6 Pt 2.34-2.41
U: 0.0000 0.0000 0.0000  6 Pt 2.62
Pt: 0.1296 0.1296 0.6096  1 Si 2.41, 1 U 2.62
Pt: 0.0973 0.6536 0.6536  2 Si 2.34
Pt: 0.8704 0.8704 0.3904  1 Si 2.41, 1 U 2.62
Pt: 0.8704 0.3904 0.8704  1 Si 2.41, 1 U 2.62
Ac: 0.6043 0.6043 0.6043  6 Pt 3.00-3.09
Pt: 0.6536 0.6536 0.0973  2 Si 2.34
Pt: 0.3904 0.8704 0.8704  1 Si 2.41, 1 U 2.62

- Calculated volume: 383.6 Å³/f.u.
- Size of the total moment: 0.0 μB per cell
- Symmetry: No. 166
- Energy relative to the elements, uncorrected: -0.557 eV/atom



Entry 10:
Here is a relaxed structure of Ac2USi3Pt4 from Alexandria. Energies are from GGA-PBE.

a = 4.3889 Å, b = 4.3889 Å, c = 10.9211 Å
α = 90.00°, β = 90.00°, γ = 90.00°
With the nearest neighbours (Å) after each atom.
Sites, in units of the cell vectors:
Pt: 0.0000 0.0000 0.0000  4 Si 2.52
Si: 0.0000 0.5000 0.1128  5 Pt 2.48-2.52
U: 0.5000 0.5000 0.5000  4 Pt 2.81, 4 Si 3.10
Ac: 0.0000 0.5000 0.7668  8 Pt 3.31-3.36, 6 Si 3.37-3.65, 2 U 3.65
Pt: 0.5000 0.0000 0.6604  1 Si 2.48
Si: 0.0000 0.0000 0.5000  4 Pt 2.81, 4 U 3.10
Ac: 0.5000 0.0000 0.2332  8 Pt 3.31-3.36, 6 Si 3.37-3.65, 2 U 3.65
Pt: 0.0000 0.5000 0.3396  1 Si 2.48
Pt: 0.5000 0.5000 0.0000  4 Si 2.52
Si: 0.5000 0.0000 0.8872  5 Pt 2.48-2.52

- Calculated volume: 210.4 Å³/f.u.
- Size of the total moment: 2.4 μB per cell
- Symmetry: No. 115
- Energy relative to the elements, uncorrected: -0.894 eV/atom